# GGA-PBE Na12TlCd7, relaxed
data_Na12TlCd7
_chemical_formula_sum 'Na36 Tl3 Cd21'
_cell_length_a 14.4608
_cell_length_b 14.4608
_cell_length_c 9.6059
_cell_angle_alpha 90.00
_cell_angle_beta 90.00
_cell_angle_gamma 120.00
_space_group_name_H-M_alt 'R -3'
_space_group_IT_number 148
_space_group_name_Hall '-R 3'
loop_
_atom_site_label
_atom_site_fract_x
_atom_site_fract_y
_atom_site_fract_z
Na1 0.0395 0.7909 0.4232
Na2 0.0631 0.2582 0.9528
Tl1 0.0000 0.0000 0.0000
Cd1 0.0000 0.0000 0.5000
Cd2 0.0063 0.8651 0.7408
# DOS(E_F)   7.1 states/eV/f.u.
# Calculated formation energy   -119 kJ/mol of formula units
# Calculated density   3.63 g cm⁻³